--- w ---
VASP calculation (SCAN) on a PBEsol-optimized structure of BaFeBr2.

Computed properties:
M_tot	4.01	μB per cell

Lattice parameters (Å, degrees): 5.3612 5.3612 5.3612 60.00 60.00 60.00
Sites, in units of the cell vectors:
Ba  0.0000  0.0000  0.0000
Fe  0.5000  0.5000  0.5000
Br  0.2500  0.2500  0.2500
Br  0.7500  0.7500  0.7500

---

--- x ---
VASP calculation (SCAN) on a PBEsol-optimized structure of BaFeBr2.

Computed properties:
M_tot	3.85	μB per cell

Lattice parameters (Å, degrees): 6.3966 6.3966 6.3966 138.83 138.83 59.63
Sites, in units of the cell vectors:
Ba  0.0000  0.0000  0.0000
Fe  0.2500  0.7500  0.5000
Br  0.5000  0.5000  0.0000
Br  0.7500  0.2500  0.5000

---

The structure with the greatest stability is w.

---

--- w ---
VASP calculation (SCAN) on a PBEsol-optimized structure of BaFe2Br.

Computed properties:
M_tot	5.29	μB per cell

Lattice parameters (Å, degrees): 4.4914 4.7053 4.7449 90.00 90.00 90.00
Sites, in units of the cell vectors:
Ba  0.0000  0.0000  0.0000
Fe  0.5000  0.5000  0.2260
Fe  0.5000  0.5000  0.7740
Br  0.5000  0.0000  0.5000

---

--- x ---
VASP calculation (SCAN) on a PBEsol-optimized structure of BaFe2Br.

Computed properties:
M_tot	6.25	μB per cell

Lattice parameters (Å, degrees): 6.3589 6.3589 3.6436 106.33 106.33 124.89
Sites, in units of the cell vectors:
Ba  0.0000  0.0000  0.0000
Fe  0.0000  0.5000  0.5000
Fe  0.5000  0.0000  0.5000
Br  0.5000  0.5000  0.0000

---

The structure with the greatest stability is w.